(1)
This record from Alexandria describes a relaxed structure of Ac3YAl2O9. The functional is PBE-GGA.

Summary:
- total energy (eV per cell) = -119.6
- E_form (uncorrected) (eV/atom) = -3.25
- space group = No. 164

Lattice parameters (Å, degrees): 5.6636 5.6636 7.1372 90.00 90.00 120.00
Last column: nearest neighbours and their distance in Å.
Sites, in units of the cell vectors:
Ac1 0.3333 0.6667 0.6984  9 O 2.70-2.83
Ac2 0.0000 0.0000 0.0000  12 O 2.79-2.83
Ac3 0.6667 0.3333 0.3016  9 O 2.70-2.83
Y1 0.0000 0.0000 0.5000  6 O 2.19
Al1 0.3333 0.6667 0.1640  6 O 1.87-2.01
Al2 0.6667 0.3333 0.8360  6 O 1.87-2.01
O1 0.8250 0.1750 0.6912  1 Al 1.87
O2 0.8250 0.6499 0.6912  1 Al 1.87
O3 0.3501 0.1750 0.6912  1 Al 1.87
O4 0.6499 0.8250 0.3088  1 Al 1.87
O5 0.1750 0.3501 0.3088  1 Al 1.87
O6 0.1750 0.8250 0.3088  1 Al 1.87
O7 0.5000 0.0000 0.0000  2 Al 2.01
O8 0.0000 0.5000 0.0000  2 Al 2.01
O9 0.5000 0.5000 0.0000  2 Al 2.01



(2)
This record from Alexandria describes a relaxed structure of Ac4Al3ZnO12. The functional is PBE-GGA.

Summary:
- total energy (eV per cell) = -148.0
- E_form (uncorrected) (eV/atom) = -2.98
- space group = No. 229

Lattice parameters (Å, degrees): 6.7967 6.7967 6.7967 109.47 109.47 109.47
Last column: nearest neighbours and their distance in Å.
Sites, in units of the cell vectors:
Ac1 0.5000 0.5000 0.5000  12 O 2.77-2.78
Ac2 0.0000 0.0000 0.5000  12 O 2.77-2.78
Ac3 0.5000 0.0000 0.0000  12 O 2.77-2.78
Ac4 0.0000 0.5000 0.0000  12 O 2.77-2.78
Al1 0.5000 0.0000 0.5000  6 O 1.86-1.96
Al2 0.5000 0.5000 0.0000  6 O 1.86-1.96
Al3 0.0000 0.5000 0.5000  6 O 1.86-1.96
Zn1 0.0000 0.0000 0.0000  6 O 2.06
O1 0.2500 0.5000 0.7500  2 Al 1.96
O2 0.7375 0.0000 0.7375  1 Al 1.86, 1 Zn 2.06
O3 0.2625 0.0000 0.2625  1 Al 1.86, 1 Zn 2.06
O4 0.7500 0.5000 0.2500  2 Al 1.96
O5 0.7375 0.7375 0.0000  1 Al 1.86, 1 Zn 2.06
O6 0.2625 0.2625 0.0000  1 Al 1.86, 1 Zn 2.06
O7 0.7500 0.2500 0.5000  2 Al 1.96
O8 0.2500 0.7500 0.5000  2 Al 1.96
O9 0.5000 0.2500 0.7500  2 Al 1.96
O10 0.0000 0.7375 0.7375  1 Al 1.86, 1 Zn 2.06
O11 0.5000 0.7500 0.2500  2 Al 1.96
O12 0.0000 0.2625 0.2625  1 Al 1.86, 1 Zn 2.06



(3)
This record from Alexandria describes a relaxed structure of Ac2AlZnO6. The functional is PBE-GGA.

Summary:
- total energy (eV per cell) = -139.6
- E_form (uncorrected) (eV/atom) = -2.68
- space group = No. 139

Lattice parameters (Å, degrees): 5.5887 5.5887 7.9253 90.00 90.00 90.00
Last column: nearest neighbours and their distance in Å.
Sites, in units of the cell vectors:
Ac1 0.5000 0.7500 0.2500  12 O 2.79-2.80
Ac2 0.0000 0.2500 0.7500  12 O 2.79-2.80
Ac3 0.5000 0.7500 0.7500  12 O 2.79-2.80
Ac4 0.0000 0.2500 0.2500  12 O 2.79-2.80
Al1 0.0000 0.7499 0.5000  6 O 1.91
Al2 0.5000 0.2501 0.0000  6 O 1.91
Zn1 0.5000 0.2499 0.5000  6 O 2.05-2.06
Zn2 0.0000 0.7501 0.0000  6 O 2.05-2.06
O1 0.5000 0.2501 0.2405  1 Al 1.91, 1 Zn 2.06
O2 0.5000 0.2501 0.7595  1 Al 1.91, 1 Zn 2.06
O3 0.0000 0.7499 0.2595  1 Al 1.91, 1 Zn 2.06
O4 0.0000 0.7499 0.7405  1 Al 1.91, 1 Zn 2.06
O5 0.2412 0.9910 0.5000  1 Al 1.91, 1 Zn 2.05
O6 0.7588 0.9910 0.5000  1 Al 1.91, 1 Zn 2.05
O7 0.2411 0.5088 0.5000  1 Al 1.91, 1 Zn 2.05
O8 0.7589 0.5088 0.5000  1 Al 1.91, 1 Zn 2.05
O9 0.7411 0.4912 0.0000  1 Al 1.91, 1 Zn 2.05
O10 0.2589 0.4912 0.0000  1 Al 1.91, 1 Zn 2.05
O11 0.2588 0.0090 0.0000  1 Al 1.91, 1 Zn 2.05
O12 0.7412 0.0090 0.0000  1 Al 1.91, 1 Zn 2.05



(4)
This record from Alexandria describes a relaxed structure of Ac3AlZn2O9. The functional is PBE-GGA.

Summary:
- total energy (eV per cell) = -100.9
- E_form (uncorrected) (eV/atom) = -2.51
- space group = No. 164

Lattice parameters (Å, degrees): 5.6018 5.6018 6.8825 90.00 90.00 120.00
Last column: nearest neighbours and their distance in Å.
Sites, in units of the cell vectors:
Ac1 0.3333 0.6667 0.6660  12 O 2.80-2.81
Ac2 0.0000 0.0000 0.0000  12 O 2.80-2.82
Ac3 0.6667 0.3333 0.3340  12 O 2.80-2.81
Al1 0.0000 0.0000 0.5000  6 O 1.91
Zn1 0.3333 0.6667 0.1741  6 O 2.01-2.03
Zn2 0.6667 0.3333 0.8259  6 O 2.01-2.03
O1 0.8390 0.1610 0.6595  1 Al 1.91, 1 Zn 2.03
O2 0.8390 0.6780 0.6595  1 Al 1.91, 1 Zn 2.03
O3 0.3220 0.1610 0.6595  1 Al 1.91, 1 Zn 2.03
O4 0.6780 0.8390 0.3405  1 Al 1.91, 1 Zn 2.03
O5 0.1610 0.3220 0.3405  1 Al 1.91, 1 Zn 2.03
O6 0.1610 0.8390 0.3405  1 Al 1.91, 1 Zn 2.03
O7 0.5000 0.0000 0.0000  2 Zn 2.01
O8 0.0000 0.5000 0.0000  2 Zn 2.01
O9 0.5000 0.5000 0.0000  2 Zn 2.01



(5)
This record from Alexandria describes a relaxed structure of Ac3AlZn2O8. The functional is PBE-GGA.

Summary:
- total energy (eV per cell) = -94.9
- E_form (uncorrected) (eV/atom) = -2.62
- space group = No. 164

Lattice parameters (Å, degrees): 5.6217 5.6217 7.2329 90.00 90.00 120.00
Last column: nearest neighbours and their distance in Å.
Sites, in units of the cell vectors:
Ac1 0.3333 0.6667 0.6331  1 O 2.27
Ac2 0.6667 0.3333 0.3669  1 O 2.27
Ac3 0.0000 0.0000 0.0000  6 O 2.87
Al1 0.0000 0.0000 0.5000  6 O 1.93
Zn1 0.3333 0.6667 0.2017  4 O 1.85-1.98
Zn2 0.6667 0.3333 0.7983  4 O 1.85-1.98
O1 0.3333 0.6667 0.9465  1 Zn 1.85
O2 0.6667 0.3333 0.0535  1 Zn 1.85
O3 0.1563 0.8437 0.3362  1 Al 1.93, 1 Zn 1.98
O4 0.8437 0.1563 0.6638  1 Al 1.93, 1 Zn 1.98
O5 0.1563 0.3125 0.3362  1 Al 1.93, 1 Zn 1.98
O6 0.8437 0.6875 0.6638  1 Al 1.93, 1 Zn 1.98
O7 0.6875 0.8437 0.3362  1 Al 1.93, 1 Zn 1.98
O8 0.3125 0.1563 0.6638  1 Al 1.93, 1 Zn 1.98



(6)
This record from Alexandria describes a relaxed structure of Ac3Al2ZnO9. The functional is PBE-GGA.

Summary:
- total energy (eV per cell) = -108.9
- E_form (uncorrected) (eV/atom) = -2.88
- space group = No. 164

Lattice parameters (Å, degrees): 5.5435 5.5435 6.8497 90.00 90.00 120.00
Last column: nearest neighbours and their distance in Å.
Sites, in units of the cell vectors:
Ac1 0.3333 0.6667 0.6608  12 O 2.77-2.82
Ac2 0.0000 0.0000 0.0000  12 O 2.77-2.78
Ac3 0.6667 0.3333 0.3392  12 O 2.77-2.82
Al1 0.3333 0.6667 0.1571  6 O 1.92-1.93
Al2 0.6667 0.3333 0.8429  6 O 1.92-1.93
Zn1 0.0000 0.0000 0.5000  6 O 2.05
O1 0.8264 0.1736 0.6753  1 Al 1.92, 1 Zn 2.05
O2 0.8264 0.6528 0.6753  1 Al 1.92, 1 Zn 2.05
O3 0.3472 0.1736 0.6753  1 Al 1.92, 1 Zn 2.05
O4 0.6528 0.8264 0.3247  1 Al 1.92, 1 Zn 2.05
O5 0.1736 0.3472 0.3247  1 Al 1.92, 1 Zn 2.05
O6 0.1736 0.8264 0.3247  1 Al 1.92, 1 Zn 2.05
O7 0.5000 0.0000 0.0000  2 Al 1.93
O8 0.0000 0.5000 0.0000  2 Al 1.93
O9 0.5000 0.5000 0.0000  2 Al 1.93



(7)
This record from Alexandria describes a relaxed structure of AcZrAl2O8. The functional is PBE-GGA.

Summary:
- total energy (eV per cell) = -88.9
- E_form (uncorrected) (eV/atom) = -2.42
- space group = No. 164

Lattice parameters (Å, degrees): 5.6502 5.6502 7.0299 90.00 90.00 120.00
Last column: nearest neighbours and their distance in Å.
Sites, in units of the cell vectors:
Ac1 0.0000 0.0000 0.0000  6 O 2.63
Zr1 0.0000 0.0000 0.5000  6 O 2.10
Al1 0.6667 0.3333 0.2409  4 O 1.75-1.80
Al2 0.3333 0.6667 0.7591  4 O 1.75-1.80
O1 0.3333 0.6667 0.0151  1 Al 1.80
O2 0.3205 0.1601 0.3012  1 Al 1.75
O3 0.8399 0.1604 0.3012  1 Al 1.75
O4 0.6667 0.3333 0.9849  1 Al 1.80
O5 0.1601 0.8396 0.6988  1 Al 1.75
O6 0.6795 0.8399 0.6988  1 Al 1.75
O7 0.1604 0.3205 0.6988  1 Al 1.75
O8 0.8396 0.6795 0.3012  1 Al 1.75



(8)
This record from Alexandria describes a relaxed structure of Ac2ZrAlO6. The functional is PBE-GGA.

Summary:
- total energy (eV per cell) = -162.7
- E_form (uncorrected) (eV/atom) = -3.11
- space group = No. 71

Lattice parameters (Å, degrees): 5.5657 5.9575 8.0323 90.00 90.00 90.00
Last column: nearest neighbours and their distance in Å.
Sites, in units of the cell vectors:
Ac1 0.5000 0.7501 0.2409  12 O 2.75-2.99
Ac2 0.0000 0.2499 0.7409  12 O 2.75-2.99
Ac3 0.5000 0.7501 0.7591  12 O 2.75-2.99
Ac4 0.0000 0.2499 0.2591  12 O 2.75-2.99
Zr1 0.0000 0.7499 0.5000  6 O 2.11-2.15
Zr2 0.5000 0.2501 0.0000  6 O 2.11-2.15
Al1 0.5000 0.2499 0.5000  6 O 1.90-1.93
Al2 0.0000 0.7501 0.0000  6 O 1.90-1.93
O1 0.5000 0.2499 0.2631  1 Al 1.90, 1 Zr 2.11
O2 0.5000 0.2499 0.7369  1 Al 1.90, 1 Zr 2.11
O3 0.0000 0.7501 0.2369  1 Al 1.90, 1 Zr 2.11
O4 0.0000 0.7501 0.7631  1 Al 1.90, 1 Zr 2.11
O5 0.2531 0.0225 0.5000  1 Al 1.93, 1 Zr 2.15
O6 0.7469 0.0225 0.5000  1 Al 1.93, 1 Zr 2.15
O7 0.2531 0.4773 0.5000  1 Al 1.93, 1 Zr 2.15
O8 0.7469 0.4773 0.5000  1 Al 1.93, 1 Zr 2.15
O9 0.7531 0.5227 0.0000  1 Al 1.93, 1 Zr 2.15
O10 0.2469 0.5227 0.0000  1 Al 1.93, 1 Zr 2.15
O11 0.2469 0.9775 0.0000  1 Al 1.93, 1 Zr 2.15
O12 0.7531 0.9775 0.0000  1 Al 1.93, 1 Zr 2.15